Density functional theory data (PBE) for crystalline Nd6Ge2Te3Br at its relaxed geometry.

Cell lengths 9.9093, 9.9093, 8.9209 Å; angles 102.96, 102.96, 25.49 degrees
With the nearest neighbours (Å) after each atom.
Fractional coordinates of all 12 atoms:
Nd: 0.0145 0.0145 0.2640  1 Ge 2.89, 2 Te 3.09, 2 Br 3.18
Nd: 0.3274 0.3274 0.4301  3 Ge 3.00-3.02, 3 Te 3.25-3.28
Nd: 0.3267 0.3267 0.8863  2 Ge 2.96, 3 Te 3.16-3.27, 1 Br 3.27
Nd: 0.6733 0.6733 0.1137  2 Ge 2.96, 3 Te 3.16-3.27, 1 Br 3.27
Nd: 0.6726 0.6726 0.5699  3 Ge 3.00-3.02, 3 Te 3.25-3.28
Nd: 0.9855 0.9855 0.7360  1 Ge 2.89, 2 Te 3.09, 2 Br 3.18
Ge: 0.1682 0.1682 0.3340  6 Nd 2.89-3.02
Ge: 0.8318 0.8318 0.6660  6 Nd 2.89-3.02
Te: 0.1594 0.1594 0.8363  6 Nd 3.16-3.28
Te: 0.5000 0.5000 0.5000  6 Nd 3.09-3.25
Te: 0.8406 0.8406 0.1637  6 Nd 3.16-3.28
Br: 0.5000 0.5000 0.0000  6 Nd 3.18-3.27

## Properties
* total energy: -0.197 Ha/atom
* calculated volume: 30.6 Å³/atom
* Fermi-level density of states: 4.61 states/eV/f.u.
* SG: C2/m

=====

Density functional theory data (PBE) for crystalline Nd6Ge2TeBr3 at its relaxed geometry.

Cell lengths 9.7835, 9.7835, 8.7792 Å; angles 102.31, 102.31, 25.78 degrees
With the nearest neighbours (Å) after each atom.
Fractional coordinates of all 12 atoms:
Nd: 0.0161 0.0161 0.2593  1 Ge 2.85, 2 Br 3.10, 2 Te 3.12
Nd: 0.3260 0.3260 0.4333  3 Ge 2.92-2.95, 3 Br 3.24-3.25
Nd: 0.3297 0.3297 0.8793  2 Ge 2.90, 1 Br 3.11, 1 Te 3.19
Nd: 0.6703 0.6703 0.1207  2 Ge 2.90, 1 Br 3.11, 1 Te 3.19
Nd: 0.6740 0.6740 0.5667  3 Ge 2.92-2.95, 3 Br 3.24-3.25
Nd: 0.9839 0.9839 0.7407  1 Ge 2.85, 2 Br 3.10, 2 Te 3.12
Ge: 0.1693 0.1693 0.3384  6 Nd 2.85-2.95
Ge: 0.8307 0.8307 0.6616  6 Nd 2.85-2.95
Te: 0.5000 0.5000 0.0000  6 Nd 3.12-3.19
Br: 0.1634 0.1634 0.8351  6 Nd 3.11-3.34
Br: 0.5000 0.5000 0.5000  6 Nd 3.10-3.24
Br: 0.8366 0.8366 0.1649  6 Nd 3.11-3.34

## Properties
* total energy: -0.185 Ha/atom
* calculated volume: 29.7 Å³/atom
* Fermi-level density of states: 6.03 states/eV/f.u.
* SG: C2/m

=====

Density functional theory data (PBE) for crystalline Nd4GeTe2Br at its relaxed geometry.

Cell lengths 7.6506, 4.3761, 7.6809 Å; angles 90.00, 108.96, 90.00 degrees
With the nearest neighbours (Å) after each atom.
Fractional coordinates of all 8 atoms:
Nd: 0.2255 0.0000 0.2247  2 Ge 2.97, 1 Br 3.12, 3 Te 3.13-3.28
Nd: 0.2331 0.5000 0.7645  1 Ge 2.92, 2 Te 3.12, 2 Br 3.14
Nd: 0.7669 0.5000 0.2355  1 Ge 2.92, 2 Te 3.12, 2 Br 3.14
Nd: 0.7745 0.0000 0.7753  2 Ge 2.97, 1 Br 3.12, 3 Te 3.13-3.28
Ge: 0.0000 0.5000 0.0000  6 Nd 2.92-2.97
Te: 0.0000 0.0000 0.5000  6 Nd 3.12-3.13
Te: 0.5000 0.5000 0.5000  6 Nd 3.28-3.32
Br: 0.5000 0.0000 0.0000  6 Nd 3.12-3.14

## Properties
* total energy: -0.193 Ha/atom
* calculated volume: 30.4 Å³/atom
* Fermi-level density of states: 4.25 states/eV/f.u.
* SG: P2/m

=====

Density functional theory data (PBE) for crystalline Nd8ZnGe3Br4 at its relaxed geometry.

Cell lengths 8.7561, 8.7561, 8.7561 Å; angles 58.95, 58.95, 58.95 degrees
With the nearest neighbours (Å) after each atom.
Fractional coordinates of all 16 atoms:
Nd: 0.2387 0.2387 0.2387  3 Ge 2.93, 3 Br 3.22
Nd: 0.2391 0.7406 0.7406  2 Ge 2.95, 1 Zn 2.96, 3 Br 3.20
Nd: 0.2594 0.2594 0.7609  2 Ge 2.95, 1 Zn 2.96, 3 Br 3.20
Nd: 0.2594 0.7609 0.2594  2 Ge 2.95, 1 Zn 2.96, 3 Br 3.20
Nd: 0.7406 0.2391 0.7406  2 Ge 2.95, 1 Zn 2.96, 3 Br 3.20
Nd: 0.7406 0.7406 0.2391  2 Ge 2.95, 1 Zn 2.96, 3 Br 3.20
Nd: 0.7609 0.2594 0.2594  2 Ge 2.95, 1 Zn 2.96, 3 Br 3.20
Nd: 0.7613 0.7613 0.7613  3 Ge 2.93, 3 Br 3.22
Zn: 0.5000 0.5000 0.5000  6 Nd 2.96
Ge: 0.0000 0.0000 0.5000  6 Nd 2.93-2.95
Ge: 0.0000 0.5000 0.0000  6 Nd 2.93-2.95
Ge: 0.5000 0.0000 0.0000  6 Nd 2.93-2.95
Br: 0.0000 0.0000 0.0000  6 Nd 3.20
Br: 0.0000 0.5000 0.5000  6 Nd 3.20-3.22
Br: 0.5000 0.0000 0.5000  6 Nd 3.20-3.22
Br: 0.5000 0.5000 0.0000  6 Nd 3.20-3.22

## Properties
* total energy: -0.176 Ha/atom
* calculated volume: 29.0 Å³/atom
* Fermi-level density of states: 8.13 states/eV/f.u.
* SG: R-3m

=====

Density functional theory data (PBE) for crystalline NdZnGeBr at its relaxed geometry.

Cell lengths 14.1843, 14.1843, 14.1843 Å; angles 17.33, 17.33, 17.33 degrees
With the nearest neighbours (Å) after each atom.
Fractional coordinates of all 8 atoms:
Nd: 0.0789 0.0789 0.0789  3 Ge 2.97, 3 Br 3.07
Nd: 0.9211 0.9211 0.9211  3 Ge 2.97, 3 Br 3.07
Zn: 0.3098 0.3098 0.3098  4 Ge 2.56-2.64
Zn: 0.6902 0.6902 0.6902  4 Ge 2.56-2.64
Ge: 0.3729 0.3729 0.3729  4 Zn 2.56-2.64
Ge: 0.6271 0.6271 0.6271  4 Zn 2.56-2.64
Br: 0.2109 0.2109 0.2109  3 Nd 3.07
Br: 0.7891 0.7891 0.7891  3 Nd 3.07

## Properties
* total energy: -0.148 Ha/atom
* calculated volume: 27.6 Å³/atom
* Fermi-level density of states: 0.04 states/eV/f.u.
* SG: R-3m

=====

Density functional theory data (PBE) for crystalline NiGeBr2 at its relaxed geometry.

Cell lengths 6.8379, 6.8379, 6.8379 Å; angles 124.35, 124.35, 82.62 degrees
With the nearest neighbours (Å) after each atom.
Fractional coordinates of all 8 atoms:
Ni: 0.0000 0.0000 0.0000  4 Br 2.38
Ni: 0.7500 0.2500 0.5000  4 Br 2.38
Ge: 0.2500 0.7500 0.5000  4 Br 2.85
Ge: 0.5000 0.5000 0.0000  4 Br 2.85
Br: 0.0652 0.6250 0.9402  2 Ni 2.38
Br: 0.3750 0.3152 0.4402  2 Ni 2.38
Br: 0.6848 0.1250 0.0598  2 Ni 2.38
Br: 0.8750 0.9348 0.5598  2 Ni 2.38

## Properties
* relative energy among the computed polymorphs: 0 meV/atom
* calculated volume: 26.2 Å³/atom
* Fermi-level density of states: 2.37 states/eV/f.u.
* SG: I-42d

=====

Density functional theory data (PBE) for crystalline NiGe2Br2 at its relaxed geometry.

Cell lengths 6.8648, 6.8648, 6.8648 Å; angles 141.02, 141.02, 56.31 degrees
With the nearest neighbours (Å) after each atom.
Fractional coordinates of all 5 atoms:
Ni: 0.0000 0.0000 0.0000  8 Ge 3.50, 8 Br 3.80
Ge: 0.3914 0.3914 0.0000  1 Ge 2.63, 4 Br 2.86
Ge: 0.6086 0.6086 0.0000  1 Ge 2.63, 4 Br 2.86
Br: 0.2500 0.7500 0.5000  4 Ge 2.86
Br: 0.7500 0.2500 0.5000  4 Ge 2.86

## Properties
* relative energy among the computed polymorphs: 706 meV/atom
* calculated volume: 25.4 Å³/atom
* Fermi-level density of states: 4.87 states/eV/f.u.
* SG: I4/mmm

=====

Density functional theory data (PBE) for crystalline NiGeBr3 at its relaxed geometry.

Cell lengths 4.9138, 4.9138, 4.9138 Å; angles 90.00, 90.00, 90.00 degrees
With the nearest neighbours (Å) after each atom.
Fractional coordinates of all 5 atoms:
Ni: 0.0000 0.0000 0.0000  6 Br 2.46
Ge: 0.5000 0.5000 0.5000  12 Br 3.47
Br: 0.0000 0.0000 0.5000  2 Ni 2.46
Br: 0.0000 0.5000 0.0000  2 Ni 2.46
Br: 0.5000 0.0000 0.0000  2 Ni 2.46

## Properties
* relative energy among the computed polymorphs: 0 meV/atom
* calculated volume: 23.7 Å³/atom
* Fermi-level density of states: 4.29 states/eV/f.u.
* SG: Pm-3m

=====

Which value of calculated volume does entry 8 give?
23.7 Å³/atom